[1]
# LiMg | the Alexandria database | GGA-PBE | relaxed
# - Symmetry: I4/m
# - Crystal system: tetragonal
# - Formation energy from the elements: 28 meV per atom
data_LiMg
_chemical_formula_sum 'Li8 Mg8'
_cell_length_a 10.5006
_cell_length_b 10.5006
_cell_length_c 3.1164
_cell_angle_alpha 90.00
_cell_angle_beta 90.00
_cell_angle_gamma 90.00
_space_group_name_H-M_alt 'P 1'
_space_group_IT_number 1
loop_
_space_group_symop_operation_xyz
'x,y,z'
loop_
_atom_site_label
_atom_site_fract_x
_atom_site_fract_y
_atom_site_fract_z
_atom_site_occupancy
Mg1 0.8646 0.1667 0.0000 1
Mg2 0.6354 0.3333 0.5000 1
Mg3 0.6667 0.6354 0.5000 1
Mg4 0.1667 0.1354 0.0000 1
Mg5 0.1354 0.8333 0.0000 1
Mg6 0.8333 0.8646 0.0000 1
Mg7 0.3646 0.6667 0.5000 1
Mg8 0.3333 0.3646 0.5000 1
Li1 0.1573 0.5401 0.0000 1
Li2 0.4599 0.1573 0.0000 1
Li3 0.8427 0.4599 0.0000 1
Li4 0.0401 0.3427 0.5000 1
Li5 0.3427 0.9599 0.5000 1
Li6 0.5401 0.8427 0.0000 1
Li7 0.9599 0.6573 0.5000 1
Li8 0.6573 0.0401 0.5000 1


[2]
# KBe2Cd | the Alexandria database | GGA-PBE | relaxed
# - Symmetry: R3m
# - Crystal system: trigonal
# - Formation energy from the elements: 332 meV per atom
data_KBe2Cd
_chemical_formula_sum 'K1 Be2 Cd1'
_cell_length_a 6.6315
_cell_length_b 6.6315
_cell_length_c 6.6315
_cell_angle_alpha 37.04
_cell_angle_beta 37.04
_cell_angle_gamma 37.04
_space_group_name_H-M_alt 'P 1'
_space_group_IT_number 1
loop_
_space_group_symop_operation_xyz
'x,y,z'
loop_
_atom_site_label
_atom_site_fract_x
_atom_site_fract_y
_atom_site_fract_z
_atom_site_occupancy
Cd1 0.4263 0.4263 0.4263 1
Be1 0.0767 0.0767 0.0767 1
Be2 0.7487 0.7487 0.7487 1
K1 0.2483 0.2483 0.2483 1


[3]
# K2SrErF6 | the Alexandria database | GGA-PBE | relaxed
# - Symmetry: Fm-3m
# - Crystal system: cubic
# - Energy relative to the elements, uncorrected: -3.30 eV per atom
data_K2SrErF6
_chemical_formula_sum 'K2 Sr1 Er1 F6'
_cell_length_a 6.6064
_cell_length_b 6.6067
_cell_length_c 6.6043
_cell_angle_alpha 60.02
_cell_angle_beta 60.03
_cell_angle_gamma 89.99
_space_group_name_H-M_alt 'P 1'
_space_group_IT_number 1
loop_
_space_group_symop_operation_xyz
'x,y,z'
loop_
_atom_site_label
_atom_site_fract_x
_atom_site_fract_y
_atom_site_fract_z
_atom_site_occupancy
F1 0.2348 0.2348 0.9999 1
F2 0.2348 0.2348 0.5304 1
F3 0.7652 0.7652 0.4696 1
F4 0.7652 0.7652 0.0001 1
F5 0.7652 0.2348 0.0000 1
F6 0.2348 0.7652 0.0000 1
Sr1 0.5000 0.5000 0.0000 1
K1 0.7500 0.2500 0.5000 1
K2 0.2500 0.7500 0.5000 1
Er1 0.0000 0.0000 0.0000 1


[4]
# Li2HfUAs4 | the Alexandria database | GGA-PBE | relaxed
# - Symmetry: P2/m
# - Crystal system: monoclinic
# - Formation energy from the elements: -645 meV per atom
data_Li2HfUAs4
_chemical_formula_sum 'Li2 Hf1 U1 As4'
_cell_length_a 4.0256
_cell_length_b 6.8294
_cell_length_c 6.6357
_cell_angle_alpha 110.48
_cell_angle_beta 90.00
_cell_angle_gamma 90.00
_space_group_name_H-M_alt 'P 1'
_space_group_IT_number 1
loop_
_space_group_symop_operation_xyz
'x,y,z'
loop_
_atom_site_label
_atom_site_fract_x
_atom_site_fract_y
_atom_site_fract_z
_atom_site_occupancy
Li1 0.5000 0.0000 0.5000 1
Li2 0.0000 0.5000 0.5000 1
As1 0.5000 0.7558 0.7612 1
As2 0.5000 0.2442 0.2388 1
As3 0.0000 0.2477 0.7567 1
As4 0.0000 0.7523 0.2433 1
Hf1 0.0000 0.0000 0.0000 1
U1 0.5000 0.5000 0.0000 1


In the order shown, the computed N(E_F) values come out to 0.920, 1.757, 1.539, 1.866 states/eV/f.u..